Entry 1:
Entry from Alexandria: a geometry-optimized RbCrB3 structure (PBE).

Lattice parameters (Å, degrees): 4.181 4.181 4.181 90.00 90.00 90.00
Space group Pm-3m (No. 221)
One atom of each set of equivalent atoms:
1 Rb 0.000 0.000 0.000
2 Cr 0.500 0.500 0.500
3 B 0.000 0.500 0.500

Computed properties:
Density of states at the Fermi level in states/eV per cell: 1.59
Total magnetization in μB/atom: 0.000
Total energy in eV/atom: -4.972
Calculated volume in A^3/atom: 14.619

Entry 2:
Entry from Alexandria: a geometry-optimized Tb3PmY12 structure (PBE).

Lattice parameters (Å, degrees): 5.054 5.054 20.223 90.00 90.00 90.00
Space group P4/mmm (No. 123)
One atom of each set of equivalent atoms:
1 Tb 0.000 0.000 0.000
2 Tb 0.000 0.000 0.249
3 Pm 0.000 0.000 0.500
4 Y 0.000 0.500 0.125
5 Y 0.000 0.500 0.374
6 Y 0.500 0.500 0.000
7 Y 0.500 0.500 0.249
8 Y 0.500 0.500 0.500

Computed properties:
Density of states at the Fermi level in states/eV per cell: 22.53
Total magnetization in μB/atom: 0.000
Total energy in eV/atom: -5.991
Calculated volume in A^3/atom: 32.287

Entry 3:
Entry from Alexandria: a geometry-optimized La6Dy12Er structure (PBE).

Lattice parameters (Å, degrees): 16.7468 16.7468 8.1970 90.00 90.00 120.00
Space group R-3m (No. 166, hexagonal axes)
One atom of each set of equivalent atoms:
1 La 0.0992 0.1985 0.0717
2 Dy 0.0000 0.3864 0.0000
3 Dy 0.1082 0.2164 0.6202
4 Er 0.0000 0.0000 0.5000

Computed properties:
Density of states at the Fermi level in states/eV per cell: 85.49
Total magnetization in μB/atom: 0.000
Total energy in eV/atom: -4.392
Calculated volume in A^3/atom: 34.928

Entry 4:
Entry from Alexandria: a geometry-optimized BaSmBi structure (PBE).

Lattice parameters (Å, degrees): 14.298 5.843 5.845 90.00 90.00 90.00
Space group Amm2 (No. 38)
One atom of each set of equivalent atoms:
1 Ba 0.155 0.000 0.000
2 Sm 0.385 0.000 0.501
3 Bi 0.000 0.000 0.500
4 Bi 0.500 0.000 0.001

Computed properties:
Energy above the lowest structure with this stoichiometry in meV per atom: 36.4
Density of states at the Fermi level in states/eV per cell: 14.99
Total magnetization in μB/atom: 0.030
Calculated volume in A^3/atom: 40.692

Entry 5:
Entry from Alexandria: a geometry-optimized Ho2Mg2Cd structure (PBE).

Lattice parameters (Å, degrees): 4.970 15.427 3.363 90.00 90.00 90.00
Space group Cmmm (No. 65)
One atom of each set of equivalent atoms:
1 Ho 0.000 0.107 0.000
2 Mg 0.000 0.300 0.500
3 Cd 0.000 0.500 0.500

Computed properties:
Energy above the lowest structure with this stoichiometry in meV per atom: 16.2
Density of states at the Fermi level in states/eV per cell: 11.38
Total magnetization in μB/atom: 0.000
Calculated volume in A^3/atom: 25.780

Entry 6:
Entry from Alexandria: a geometry-optimized NaEuSe2 structure (PBE).

Lattice parameters (Å, degrees): 7.295 7.295 7.295 90.00 90.00 90.00
Space group Fm-3m (No. 225)
One atom of each set of equivalent atoms:
1 Na 0.000 0.000 0.000
2 Eu 0.000 0.000 0.500
3 Se 0.250 0.250 0.250

Computed properties:
ΔE_f (raw) in eV/f.u.: -5.2
Density of states at the Fermi level in states/eV per cell: 25.96
Total magnetization in μB/atom: 1.576
Calculated volume in A^3/atom: 24.262

Entry 7:
Entry from Alexandria: a geometry-optimized TlSn3Au3 structure (PBE).

Lattice parameters (Å, degrees): 8.574 4.726 9.520 90.00 116.06 90.00
Space group P2_1/m (No. 11)
One atom of each set of equivalent atoms:
1 Tl 0.166 0.250 0.312
2 Sn 0.242 0.250 0.947
3 Sn 0.244 0.750 0.718
4 Sn 0.476 0.750 0.250
5 Au 0.012 0.250 0.607
6 Au 0.115 0.750 0.057
7 Au 0.434 0.750 0.544

Computed properties:
Energy above the lowest structure with this stoichiometry in meV per atom: 6.3
Density of states at the Fermi level in states/eV per cell: 4.36
Total magnetization in μB/atom: 0.000
Calculated volume in A^3/atom: 24.749

Entry 8:
Entry from Alexandria: a geometry-optimized CsSrTi3 structure (PBE).

Lattice parameters (Å, degrees): 5.506 5.506 5.506 90.00 90.00 90.00
Space group Pm-3m (No. 221)
One atom of each set of equivalent atoms:
1 Cs 0.000 0.000 0.000
2 Sr 0.500 0.500 0.500
3 Ti 0.000 0.500 0.500

Computed properties:
Energy above the lowest structure with this stoichiometry in meV per atom: 305.1
Density of states at the Fermi level in states/eV per cell: 4.60
Total magnetization in μB/atom: 0.663
Calculated volume in A^3/atom: 33.389

Entry 9:
Entry from Alexandria: a geometry-optimized Li4SiAg structure (PBE).

Lattice parameters (Å, degrees): 5.207 4.424 8.050 90.00 108.66 90.00
Space group P2_1/m (No. 11)
One atom of each set of equivalent atoms:
1 Li 0.036 0.250 0.084
2 Li 0.190 0.250 0.416
3 Li 0.274 0.750 0.585
4 Li 0.453 0.750 0.916
5 Si 0.130 0.250 0.761
6 Ag 0.382 0.750 0.263

Computed properties:
ΔE_f (raw) in eV/f.u.: -1.4
Energy above the lowest structure with this stoichiometry in meV per atom: 0.0
Density of states at the Fermi level in states/eV per cell: 2.85
Total magnetization in μB/atom: 0.000
Calculated volume in A^3/atom: 14.643

Entry 10:
Entry from Alexandria: a geometry-optimized Pr2NdNpO8 structure (PBE).

Lattice parameters (Å, degrees): 4.016 7.678 5.611 90.00 94.88 90.00
Space group P2/m (No. 10)
One atom of each set of equivalent atoms:
1 Pr 0.000 0.245 0.000
2 Nd 0.500 0.000 0.500
3 Np 0.500 0.500 0.500
4 O 0.005 0.000 0.752
5 O 0.062 0.500 0.287
6 O 0.464 0.285 0.730

Computed properties:
ΔE_f (raw) in eV/f.u.: -37.1
Density of states at the Fermi level in states/eV per cell: 0.17
Total magnetization in μB/atom: 0.000
Calculated volume in A^3/atom: 14.366

Entry 11:
Entry from Alexandria: a geometry-optimized LiTa4Ag structure (PBE).

Lattice parameters (Å, degrees): 7.755 7.755 7.755 90.00 90.00 90.00
Space group F-43m (No. 216)
One atom of each set of equivalent atoms:
1 Li 0.000 0.000 0.000
2 Ta 0.126 0.126 0.626
3 Ag 0.250 0.250 0.250

Computed properties:
Density of states at the Fermi level in states/eV per cell: 20.88
Total magnetization in μB/atom: 0.000
Total energy in eV/atom: -8.076
Calculated volume in A^3/atom: 19.434

Entry 12:
Entry from Alexandria: a geometry-optimized Li3NiSn2 structure (PBE).

Lattice parameters (Å, degrees): 2.992 4.321 7.809 90.00 90.00 90.00
Space group Pmm2 (No. 25)
One atom of each set of equivalent atoms:
1 Li 0.000 0.000 0.000
2 Li 0.000 0.000 0.328
3 Li 0.000 0.500 0.818
4 Ni 0.000 0.500 0.493
5 Sn 0.500 0.000 0.638
6 Sn 0.500 0.500 0.189

Computed properties:
Energy above the lowest structure with this stoichiometry in meV per atom: 20.2
Density of states at the Fermi level in states/eV per cell: 1.69
Total magnetization in μB/atom: 0.000
Calculated volume in A^3/atom: 16.828